No. 1
DFT (meta-GGA SCAN) results for a PBEsol-optimized structure of Ba2TiCu.

CIF file:
```
data_Ba2TiCu
_space_group_name_H-M_alt 'P 1'
_space_group_IT_number 1
_space_group_name_Hall 'P 1'
_cell_length_a 5.6170
_cell_length_b 5.6170
_cell_length_c 5.6170
_cell_angle_alpha 60.00
_cell_angle_beta 60.00
_cell_angle_gamma 60.00
loop_
_atom_site_label
_atom_site_type_symbol
_atom_site_fract_x
_atom_site_fract_y
_atom_site_fract_z
Ba1 Ba 0.2500 0.2500 0.2500
Ba2 Ba 0.7500 0.7500 0.7500
Ti1 Ti 0.0000 0.0000 0.0000
Cu1 Cu 0.5000 0.5000 0.5000
```

Uncorrected energy, eV per atom: -26.937
Theoretical density, g/cm3: 5.116
Formation energy, meV/atom: 646



No. 2
DFT (meta-GGA SCAN) results for a PBEsol-optimized structure of CaBe2RePd.

CIF file:
```
data_CaBe2RePd
_space_group_name_H-M_alt 'P 1'
_space_group_IT_number 1
_space_group_name_Hall 'P 1'
_cell_length_a 4.4646
_cell_length_b 4.4082
_cell_length_c 4.4082
_cell_angle_alpha 90.00
_cell_angle_beta 90.00
_cell_angle_gamma 90.00
loop_
_atom_site_label
_atom_site_type_symbol
_atom_site_fract_x
_atom_site_fract_y
_atom_site_fract_z
Be1 Be 0.0000 0.5000 0.0000
Be2 Be 0.0000 0.0000 0.5000
Pd1 Pd 0.5000 0.5000 0.5000
Ca1 Ca 0.0000 0.0000 0.0000
Re1 Re 0.5000 0.0000 0.0000
```

Uncorrected energy, eV per atom: -21.823
Theoretical density, g/cm3: 6.713
Formation energy, meV/atom: 2626